Entry 1:
# ZrTlBr2 GGA-PBE relaxed
# Magnetization   0.7 μB/f.u.
# Symmetry   P4mm
# Energy relative to the lowest polymorph listed for this composition   0.389 eV per atom
# ΔE_f (raw)   -0.4152 eV/atom
data_ZrTlBr2
_space_group_name_H-M_alt 'P 1'
_space_group_IT_number 1
_cell_length_a 3.5344
_cell_length_b 3.5344
_cell_length_c 8.3206
_cell_angle_alpha 90.00
_cell_angle_beta 90.00
_cell_angle_gamma 90.00
loop_
_space_group_symop_operation_xyz
'x,y,z'
loop_
_atom_site_label
_atom_site_fract_x
_atom_site_fract_y
_atom_site_fract_z
Br1 0.0000 0.0000 0.9364
Br2 0.5000 0.5000 0.2837
Tl1 0.0000 0.0000 0.5179
Zr1 0.5000 0.5000 0.7620



Entry 2:
# Zr2TlBr GGA-PBE relaxed
# Magnetization   0.0 μB/f.u.
# Symmetry   Cm
# Energy relative to the lowest polymorph listed for this composition   0.153 eV per atom
# ΔE_f (raw)   -0.1035 eV/atom
data_Zr2TlBr
_space_group_name_H-M_alt 'P 1'
_space_group_IT_number 1
_cell_length_a 5.5601
_cell_length_b 5.5601
_cell_length_c 5.3499
_cell_angle_alpha 80.77
_cell_angle_beta 80.77
_cell_angle_gamma 34.45
loop_
_space_group_symop_operation_xyz
'x,y,z'
loop_
_atom_site_label
_atom_site_fract_x
_atom_site_fract_y
_atom_site_fract_z
Tl1 0.2519 0.2519 0.1852
Zr1 0.9974 0.9974 0.0310
Zr2 0.7622 0.7622 0.6804
Br1 0.4885 0.4885 0.6033